! Ac3TbSe4, relaxed, DFT PBE; values from VASP
&SYSTEM
  ibrav = 0, nat = 16, ntyp = 3
/
ATOMIC_SPECIES
Ac 227.00 Ac.upf
Tb 158.93 Tb.upf
Se 78.96 Se.upf
CELL_PARAMETERS angstrom
7.675 0.000 0.000
0.000 8.675 0.000
-2.483 0.000 7.136
ATOMIC_POSITIONS angstrom
Ac -0.621 1.082 1.784
Ac -1.862 3.249 5.352
Ac -0.621 5.425 1.784
Ac -1.862 7.592 5.352
Ac 1.975 1.099 5.352
Ac 3.217 7.576 1.784
Tb 3.217 3.259 1.784
Tb 1.975 5.415 5.352
Se 1.979 1.172 0.079
Se 0.738 7.503 3.647
Se 0.821 3.340 3.566
Se -0.420 5.334 7.133
Se 5.612 3.340 0.002
Se 4.371 5.334 3.570
Se 4.454 1.172 3.489
Se 3.212 7.503 7.056
! - total energy (eV per atom) = -5.68
! - symmetry = P2/c, No. 13


! BaSbSe2, relaxed, DFT PBE; values from VASP
&SYSTEM
  ibrav = 0, nat = 8, ntyp = 3
/
ATOMIC_SPECIES
Ba 137.33 Ba.upf
Sb 121.76 Sb.upf
Se 78.96 Se.upf
CELL_PARAMETERS angstrom
4.417 0.000 0.000
0.000 6.376 0.000
0.000 0.000 8.690
ATOMIC_POSITIONS angstrom
Ba 0.000 0.000 0.000
Ba 2.209 3.188 4.345
Sb 0.000 0.000 4.345
Sb 2.209 3.188 0.000
Se 0.000 3.188 1.821
Se 0.000 3.188 6.868
Se 2.209 0.000 2.524
Se 2.209 0.000 6.166
! - total energy (eV per atom) = -4.18
! - symmetry = Immm, No. 71


! LaV2ZnCr, relaxed, DFT PBE; values from VASP
&SYSTEM
  ibrav = 0, nat = 5, ntyp = 4
/
ATOMIC_SPECIES
La 138.91 La.upf
V 50.94 V.upf
Zn 65.41 Zn.upf
Cr 52.00 Cr.upf
CELL_PARAMETERS angstrom
4.568 0.000 0.000
0.000 4.568 0.000
0.000 0.000 4.462
ATOMIC_POSITIONS angstrom
La 0.000 0.000 0.000
V 0.000 2.284 0.000
V 2.284 0.000 0.000
Zn 2.284 2.284 2.231
Cr 0.000 0.000 2.231
! - symmetry = P4/mmm, No. 123
! - energy of formation (eV/atom) = 1.781


! Ba2MgAlIn6, relaxed, DFT PBE; values from VASP
&SYSTEM
  ibrav = 0, nat = 20, ntyp = 4
/
ATOMIC_SPECIES
Ba 137.33 Ba.upf
Mg 24.30 Mg.upf
Al 26.98 Al.upf
In 114.82 In.upf
CELL_PARAMETERS angstrom
3.659 2.113 13.539
-3.659 2.113 13.539
0.000 -4.225 13.539
ATOMIC_POSITIONS angstrom
Ba 0.000 0.000 5.552
Ba 0.000 0.000 12.552
Ba 0.000 0.000 28.066
Ba 0.000 0.000 35.065
Mg 0.000 0.000 0.000
Mg 0.000 0.000 20.309
Al 0.000 0.000 17.145
Al 0.000 0.000 23.472
In -2.147 -1.239 18.334
In 0.000 -2.367 15.776
In -2.050 1.184 15.776
In -2.050 -1.184 24.841
In 0.000 -2.479 22.283
In -2.147 1.239 22.283
In 2.147 -1.239 18.334
In 0.000 2.479 18.334
In 2.050 1.184 15.776
In 2.050 -1.184 24.841
In 0.000 2.367 24.841
In 2.147 1.239 22.283
! - symmetry = R-3m, No. 166
! - energy of formation (eV/atom) = -0.183